Below is an optimized crystal structure of BiAsSCl2, with properties calculated at the GGA-PBE level.

a = 5.342 Å, b = 5.342 Å, c = 5.564 Å
α = 90.00°, β = 90.00°, γ = 90.00°
Space group P4/mmm (No. 123)
Inequivalent atoms, fractional coordinates:
1 Bi 0.000 0.000 0.000 x1
2 As 0.500 0.500 0.500 x1
3 S 0.000 0.000 0.500 x1
4 Cl 0.000 0.500 0.000 x2

Results
crystal system: tetragonal
final energy: -3.0780 eV/atom
energy relative to the elements, uncorrected: 0.19 eV/atom
calculated density: 4.0 g cm⁻³
spin magnetization: 0.4016 μB per atom

Below is an optimized crystal structure of LaVReSe2, with properties calculated at the GGA-PBE level.

a = 5.714 Å, b = 5.714 Å, c = 5.153 Å
α = 90.00°, β = 90.00°, γ = 90.00°
Space group P4/mmm (No. 123)
Inequivalent atoms, fractional coordinates:
1 La 0.000 0.000 0.000 x1
2 V 0.500 0.500 0.500 x1
3 Re 0.000 0.000 0.500 x1
4 Se 0.000 0.500 0.000 x2

Results
crystal system: tetragonal
final energy: -5.2497 eV/atom
energy relative to the elements, uncorrected: 1.44 eV/atom
calculated density: 5.3 g cm⁻³
spin magnetization: 1.3287 μB per atom

Below is an optimized crystal structure of Mg2SbPb, with properties calculated at the GGA-PBE level.

a = 8.152 Å, b = 8.152 Å, c = 6.661 Å
α = 90.00°, β = 90.00°, γ = 90.00°
Space group I-42d (No. 122)
Inequivalent atoms, fractional coordinates:
1 Mg 0.223 0.750 0.125 x8
2 Sb 0.000 0.000 0.000 x4
3 Pb 0.000 0.000 0.500 x4

Results
crystal system: tetragonal
final energy: -2.7750 eV/atom
energy relative to the elements, uncorrected: -0.02 eV/atom
calculated density: 5.7 g cm⁻³
spin magnetization: 0.0000 μB per atom

Below is an optimized crystal structure of Ca5TmPd6, with properties calculated at the GGA-PBE level.

a = 4.953 Å, b = 14.905 Å, c = 7.103 Å
α = 90.00°, β = 90.00°, γ = 90.00°
Space group Cmmm (No. 65)
Inequivalent atoms, fractional coordinates:
1 Ca 0.000 0.000 0.000 x2
2 Ca 0.000 0.330 0.500 x4
3 Ca 0.000 0.334 0.000 x4
4 Tm 0.000 0.000 0.500 x2
5 Pd 0.000 0.158 0.257 x8
6 Pd 0.000 0.500 0.271 x4

Results
crystal system: orthorhombic
final energy: -4.5349 eV/atom
calculated density: 6.4 g cm⁻³
spin magnetization: 0.0000 μB per atom

Below is an optimized crystal structure of Be2FeAu, with properties calculated at the GGA-PBE level.

a = 2.7249 Å, b = 2.7249 Å, c = 22.6044 Å
α = 90.00°, β = 90.00°, γ = 120.00°
Space group R-3m (No. 166, hexagonal axes)
Inequivalent atoms, fractional coordinates:
1 Be 0.0000 0.0000 0.2437 x6
2 Fe 0.0000 0.0000 0.5000 x3
3 Au 0.0000 0.0000 0.0000 x3

Results
crystal system: trigonal
final energy: -4.6191 eV/atom
calculated density: 9.3 g cm⁻³
spin magnetization: 0.4783 μB per atom

Below is an optimized crystal structure of Pm2TmCd6, with properties calculated at the GGA-PBE level.

a = 8.7120 Å, b = 8.7120 Å, c = 3.4278 Å
α = 90.00°, β = 90.00°, γ = 120.00°
Space group P6/mmm (No. 191)
Inequivalent atoms, fractional coordinates:
1 Pm 0.3333 0.6667 0.0000 x2
2 Tm 0.0000 0.0000 0.0000 x1
3 Cd 0.0000 0.3299 0.5000 x6

Results
crystal system: hexagonal
final energy: -2.4843 eV/atom
calculated density: 8.4 g cm⁻³
spin magnetization: 0.0289 μB per atom

Below is an optimized crystal structure of AlZn2Cd, with properties calculated at the GGA-PBE level.

a = 4.3589 Å, b = 4.3589 Å, c = 14.0036 Å
α = 90.00°, β = 90.00°, γ = 120.00°
Space group R3m (No. 160, hexagonal axes)
Inequivalent atoms, fractional coordinates:
1 Al 0.0000 0.0000 0.0000 x3
2 Zn 0.0000 0.0000 0.4191 x3
3 Zn 0.0000 0.0000 0.6209 x3
4 Cd 0.0000 0.0000 0.1972 x3

Results
crystal system: trigonal
final energy: -1.6691 eV/atom
calculated density: 5.8 g cm⁻³
spin magnetization: 0.0000 μB per atom

Below is an optimized crystal structure of Rb2HfBN, with properties calculated at the GGA-PBE level.

a = 6.281 Å, b = 6.281 Å, c = 4.108 Å
α = 90.00°, β = 90.00°, γ = 90.00°
Space group P4/mmm (No. 123)
Inequivalent atoms, fractional coordinates:
1 Rb 0.000 0.500 0.000 x2
2 Hf 0.000 0.000 0.500 x1
3 B 0.500 0.500 0.500 x1
4 N 0.000 0.000 0.000 x1

Results
crystal system: tetragonal
final energy: -4.4344 eV/atom
energy relative to the elements, uncorrected: 0.94 eV/atom
calculated density: 3.8 g cm⁻³
spin magnetization: 0.3996 μB per atom

Below is an optimized crystal structure of LiTmTe2, with properties calculated at the GGA-PBE level.

a = 4.1917 Å, b = 4.1917 Å, c = 22.1228 Å
α = 90.00°, β = 90.00°, γ = 120.00°
Space group R3m (No. 160, hexagonal axes)
Inequivalent atoms, fractional coordinates:
1 Li 0.0000 0.0000 0.0000 x3
2 Tm 0.0000 0.0000 0.8318 x3
3 Te 0.0000 0.0000 0.4125 x3
4 Te 0.0000 0.0000 0.5843 x3

Results
crystal system: trigonal
final energy: -4.3487 eV/atom
energy relative to the elements, uncorrected: -1.18 eV/atom
calculated density: 6.4 g cm⁻³
spin magnetization: 0.0000 μB per atom

Below is an optimized crystal structure of MnNbGeHI, with properties calculated at the GGA-PBE level.

a = 16.514 Å, b = 3.350 Å, c = 3.263 Å
α = 90.00°, β = 90.79°, γ = 90.00°
Space group Cm (No. 8)
Inequivalent atoms, fractional coordinates:
1 Mn 0.000 0.000 0.000 x2
2 Nb 0.402 0.000 0.535 x2
3 Ge 0.069 0.500 0.512 x2
4 H 0.403 0.500 0.192 x2
5 I 0.263 0.000 0.016 x2

Results
crystal system: monoclinic
final energy: -5.6565 eV/atom
calculated density: 6.4 g cm⁻³
spin magnetization: 0.4085 μB per atom

Below is an optimized crystal structure of Sr2CaTl, with properties calculated at the GGA-PBE level.

a = 9.854 Å, b = 9.854 Å, c = 7.234 Å
α = 90.00°, β = 90.00°, γ = 90.00°
Space group I-42d (No. 122)
Inequivalent atoms, fractional coordinates:
1 Sr 0.197 0.250 0.125 x8
2 Ca 0.000 0.000 0.500 x4
3 Tl 0.000 0.000 0.000 x4

Results
crystal system: tetragonal
final energy: -1.9475 eV/atom
calculated density: 4.0 g cm⁻³
spin magnetization: 0.0000 μB per atom

Below is an optimized crystal structure of ErTe2H, with properties calculated at the GGA-PBE level.

a = 4.457 Å, b = 7.866 Å, c = 7.868 Å
α = 71.84°, β = 88.82°, γ = 89.68°
Space group P-1 (No. 2)
Inequivalent atoms, fractional coordinates:
1 Er 0.248 0.221 0.487 x2
2 Te 0.242 0.847 0.741 x2
3 Te 0.261 0.640 0.306 x2
4 H 0.260 0.727 0.077 x2

Results
crystal system: triclinic
final energy: -4.2942 eV/atom
calculated density: 5.4 g cm⁻³
spin magnetization: 0.0000 μB per atom

Below is an optimized crystal structure of NaAs2BrCl, with properties calculated at the GGA-PBE level.

a = 5.288 Å, b = 5.288 Å, c = 5.112 Å
α = 90.00°, β = 90.00°, γ = 90.00°
Space group P4/mmm (No. 123)
Inequivalent atoms, fractional coordinates:
1 Na 0.000 0.000 0.000 x1
2 As 0.000 0.500 0.000 x2
3 Br 0.000 0.000 0.500 x1
4 Cl 0.500 0.500 0.500 x1

Results
crystal system: tetragonal
final energy: -2.1083 eV/atom
energy relative to the elements, uncorrected: 0.72 eV/atom
calculated density: 3.3 g cm⁻³
spin magnetization: 0.1592 μB per atom

Below is an optimized crystal structure of Co5AgS8, with properties calculated at the GGA-PBE level.

a = 17.660 Å, b = 3.315 Å, c = 7.888 Å
α = 90.00°, β = 108.76°, γ = 90.00°
Space group Cm (No. 8)
Inequivalent atoms, fractional coordinates:
1 Co 0.000 0.000 0.000 x2
2 Co 0.045 0.000 0.363 x2
3 Co 0.201 0.500 0.320 x2
4 Co 0.358 0.000 0.277 x2
5 Co 0.403 0.000 0.640 x2
6 Ag 0.200 0.000 0.820 x2
7 S 0.024 0.500 0.838 x2
8 S 0.122 0.000 0.194 x2
9 S 0.126 0.500 0.516 x2
10 S 0.276 0.500 0.124 x2
11 S 0.281 0.000 0.446 x2
12 S 0.379 0.500 0.803 x2
13 S 0.438 0.500 0.465 x2
14 S 0.465 0.000 0.175 x2

Results
crystal system: monoclinic
final energy: -5.3946 eV/atom
energy relative to the elements, uncorrected: -0.29 eV/atom
calculated density: 5.0 g cm⁻³
spin magnetization: 0.0000 μB per atom

Below is an optimized crystal structure of Y4FeMo, with properties calculated at the GGA-PBE level.

a = 8.513 Å, b = 8.513 Å, c = 8.513 Å
α = 90.00°, β = 90.00°, γ = 90.00°
Space group F-43m (No. 216)
Inequivalent atoms, fractional coordinates:
1 Y 0.125 0.125 0.125 x16
2 Fe 0.250 0.250 0.750 x4
3 Mo 0.000 0.000 0.500 x4

Results
crystal system: cubic
final energy: -6.3895 eV/atom
calculated density: 5.5 g cm⁻³
spin magnetization: 0.5801 μB per atom

Below is an optimized crystal structure of Ac12InSn7, with properties calculated at the GGA-PBE level.

a = 15.8375 Å, b = 15.8375 Å, c = 10.5409 Å
α = 90.00°, β = 90.00°, γ = 120.00°
Space group R-3 (No. 148, hexagonal axes)
Inequivalent atoms, fractional coordinates:
1 Ac 0.0413 0.1776 0.2002 x18
2 Ac 0.0414 0.2542 0.5801 x18
3 In 0.0000 0.0000 0.0000 x3
4 Sn 0.0000 0.0000 0.5000 x3
5 Sn 0.0627 0.4734 0.5727 x18

Results
crystal system: trigonal
final energy: -4.4439 eV/atom
calculated density: 8.0 g cm⁻³
spin magnetization: 0.0001 μB per atom

Below is an optimized crystal structure of LiZnIr2, with properties calculated at the GGA-PBE level.

a = 2.677 Å, b = 3.963 Å, c = 5.260 Å
α = 90.00°, β = 90.00°, γ = 90.00°
Space group Pmmm (No. 47)
Inequivalent atoms, fractional coordinates:
1 Li 0.000 0.000 0.000 x1
2 Zn 0.000 0.000 0.500 x1
3 Ir 0.500 0.500 0.245 x2

Results
crystal system: orthorhombic
final energy: -5.2348 eV/atom
calculated density: 13.6 g cm⁻³
spin magnetization: 0.0000 μB per atom

Below is an optimized crystal structure of RbNpBr4, with properties calculated at the GGA-PBE level.

a = 9.882 Å, b = 14.734 Å, c = 6.936 Å
α = 90.00°, β = 118.67°, γ = 90.00°
Space group C2/c (No. 15)
Inequivalent atoms, fractional coordinates:
1 Rb 0.000 0.137 0.250 x4
2 Np 0.000 0.488 0.750 x4
3 Br 0.101 0.343 0.559 x8
4 Br 0.233 0.060 0.814 x8

Results
crystal system: monoclinic
final energy: -4.8832 eV/atom
energy relative to the elements, uncorrected: -1.45 eV/atom
calculated density: 4.8 g cm⁻³
spin magnetization: 0.6667 μB per atom

Below is an optimized crystal structure of Nd2InHg2Pd5, with properties calculated at the GGA-PBE level.

a = 10.350 Å, b = 10.350 Å, c = 3.914 Å
α = 90.00°, β = 90.00°, γ = 90.00°
Space group P4/mbm (No. 127)
Inequivalent atoms, fractional coordinates:
1 Nd 0.169 0.331 0.000 x4
2 In 0.000 0.000 0.000 x2
3 Hg 0.130 0.630 0.000 x4
4 Pd 0.000 0.500 0.500 x2
5 Pd 0.040 0.802 0.500 x8

Results
crystal system: tetragonal
final energy: -4.3802 eV/atom
calculated density: 10.6 g cm⁻³
spin magnetization: 0.0000 μB per atom

Below is an optimized crystal structure of Li12CaHg6, with properties calculated at the GGA-PBE level.

a = 10.3302 Å, b = 10.3302 Å, c = 12.6142 Å
α = 90.00°, β = 90.00°, γ = 120.00°
Space group R-3 (No. 148, hexagonal axes)
Inequivalent atoms, fractional coordinates:
1 Li 0.0232 0.2011 0.3026 x18
2 Li 0.0563 0.8338 0.9193 x18
3 Ca 0.0000 0.0000 0.5000 x3
4 Hg 0.0024 0.5781 0.8003 x18

Results
crystal system: trigonal
final energy: -1.6519 eV/atom
calculated density: 5.7 g cm⁻³
spin magnetization: 0.0000 μB per atom

Below is an optimized crystal structure of RhW2Se, with properties calculated at the GGA-PBE level.

a = 2.972 Å, b = 2.972 Å, c = 6.920 Å
α = 90.00°, β = 90.00°, γ = 90.00°
Space group P4/mmm (No. 123)
Inequivalent atoms, fractional coordinates:
1 Rh 0.000 0.000 0.000 x1
2 W 0.500 0.500 0.263 x2
3 Se 0.000 0.000 0.500 x1

Results
crystal system: tetragonal
final energy: -8.9731 eV/atom
energy relative to the elements, uncorrected: 0.21 eV/atom
calculated density: 14.9 g cm⁻³
spin magnetization: 0.0000 μB per atom

Below is an optimized crystal structure of Er5TlIr, with properties calculated at the GGA-PBE level.

a = 9.188 Å, b = 7.442 Å, c = 11.739 Å
α = 90.00°, β = 105.47°, γ = 90.00°
Space group C2/c (No. 15)
Inequivalent atoms, fractional coordinates:
1 Er 0.000 0.000 0.250 x4
2 Er 0.122 0.333 0.063 x8
3 Er 0.249 0.331 0.376 x8
4 Tl 0.000 0.407 0.750 x4
5 Ir 0.000 0.000 0.000 x4

Results
crystal system: monoclinic
final energy: -5.1404 eV/atom
calculated density: 10.6 g cm⁻³
spin magnetization: 0.0000 μB per atom

Below is an optimized crystal structure of HfSnAs2Se, with properties calculated at the GGA-PBE level.

a = 5.093 Å, b = 5.093 Å, c = 5.149 Å
α = 90.00°, β = 90.00°, γ = 90.00°
Space group P4/mmm (No. 123)
Inequivalent atoms, fractional coordinates:
1 Hf 0.000 0.000 0.000 x1
2 Sn 0.500 0.500 0.500 x1
3 As 0.000 0.500 0.500 x2
4 Se 0.500 0.500 0.000 x1

Results
crystal system: tetragonal
final energy: -4.5433 eV/atom
energy relative to the elements, uncorrected: 0.80 eV/atom
calculated density: 6.5 g cm⁻³
spin magnetization: 0.0000 μB per atom